Entry 1:
Pr5Ge2Te | PBE | optimized geometry

abc: 9.1315 9.1315 9.1315
angles: 127.04 127.04 78.19
Atoms (fractional coordinates):
1 Pr 0.0000 0.0000 0.0000
2 Pr 0.0175 0.5175 0.8170
3 Pr 0.2005 0.0175 0.5000
4 Pr 0.2995 0.7995 0.8170
5 Pr 0.4825 0.2995 0.5000
6 Pr 0.5000 0.5000 0.0000
7 Pr 0.5175 0.7005 0.5000
8 Pr 0.7005 0.2005 0.1830
9 Pr 0.7995 0.9825 0.5000
10 Pr 0.9825 0.4825 0.1830
11 Ge 0.1419 0.3581 0.5000
12 Ge 0.3581 0.8581 0.2161
13 Ge 0.6419 0.1419 0.7839
14 Ge 0.8581 0.6419 0.5000
15 Te 0.2500 0.2500 0.0000
16 Te 0.7500 0.7500 0.0000

Computed properties:
space-group type = I4/mcm
uncorrected formation energy = -0.810 eV/atom
D(E_F) = 1.248 states/eV/atom
volume = 29.37 Å³/atom
final energy = -42.75 eV per formula unit


Entry 2:
LiTi2Rh3 | PBE | optimized geometry

abc: 3.0882 3.0882 8.9300
angles: 90.00 90.00 90.00
Atoms (fractional coordinates):
1 Li 0.0000 0.0000 0.0000
2 Ti 0.0000 0.0000 0.3187
3 Ti 0.0000 0.0000 0.6813
4 Rh 0.5000 0.5000 0.1639
5 Rh 0.5000 0.5000 0.5000
6 Rh 0.5000 0.5000 0.8361

Computed properties:
formation energy from the elements = -711 meV per atom
space-group type = P4/mmm
D(E_F) = 0.430 states/eV/atom
volume = 14.19 Å³/atom
final energy = -44.03 eV per formula unit


Entry 3:
SrMgAl2 | PBE | optimized geometry

abc: 3.3480 3.3480 31.1955
angles: 90.00 90.00 120.00
Atoms (fractional coordinates):
1 Sr 0.0000 0.0000 0.0000
2 Sr 0.3333 0.6667 0.6667
3 Sr 0.6667 0.3333 0.3333
4 Mg 0.0000 0.0000 0.2333
5 Mg 0.3333 0.6667 0.8999
6 Mg 0.6667 0.3333 0.5666
7 Al 0.0000 0.0000 0.4925
8 Al 0.0000 0.0000 0.7545
9 Al 0.3333 0.6667 0.1592
10 Al 0.3333 0.6667 0.4212
11 Al 0.6667 0.3333 0.0878
12 Al 0.6667 0.3333 0.8258

Computed properties:
formation energy from the elements = 263 meV per atom
space-group type = R3m
D(E_F) = 0.444 states/eV/atom
volume = 25.24 Å³/atom
final energy = -9.71 eV per formula unit


Entry 4:
CaNd2ScBi4 | PBE | optimized geometry

abc: 7.7497 4.5216 7.9297
angles: 90.00 109.43 90.00
Atoms (fractional coordinates):
1 Ca 0.0000 0.0000 0.0000
2 Nd 0.5000 0.0000 0.5000
3 Nd 0.5000 0.5000 0.0000
4 Sc 0.0000 0.5000 0.5000
5 Bi 0.2329 0.0000 0.7352
6 Bi 0.2402 0.5000 0.2573
7 Bi 0.7598 0.5000 0.7427
8 Bi 0.7671 0.0000 0.2648

Computed properties:
formation energy from the elements = -775 meV per atom
space-group type = P2/m
D(E_F) = 0.492 states/eV/atom
volume = 32.76 Å³/atom
final energy = -39.59 eV per formula unit


Entry 5:
KAu4 | PBE | optimized geometry

abc: 6.6947 6.6947 5.9160
angles: 90.00 90.00 114.74
Atoms (fractional coordinates):
1 K 0.2286 0.7714 0.7500
2 K 0.7714 0.2286 0.2500
3 Au 0.0824 0.9176 0.2500
4 Au 0.3043 0.3043 0.0000
5 Au 0.3043 0.3043 0.5000
6 Au 0.3238 0.6762 0.2500
7 Au 0.6762 0.3238 0.7500
8 Au 0.6957 0.6957 0.0000
9 Au 0.6957 0.6957 0.5000
10 Au 0.9176 0.0824 0.7500

Computed properties:
formation energy from the elements = -110 meV per atom
space-group type = Cmcm
D(E_F) = 0.275 states/eV/atom
volume = 24.08 Å³/atom
final energy = -14.76 eV per formula unit
excess energy over the best structure of this formula in the dataset = 1 meV/atom


Entry 6:
In2NiOs | PBE | optimized geometry

abc: 4.5221 4.5221 3.2420
angles: 90.00 90.00 90.00
Atoms (fractional coordinates):
1 In 0.0000 0.5000 0.0000
2 In 0.5000 0.0000 0.0000
3 Ni 0.0000 0.0000 0.5000
4 Os 0.5000 0.5000 0.5000

Computed properties:
formation energy from the elements = 232 meV per atom
space-group type = P4/mmm
D(E_F) = 0.506 states/eV/atom
volume = 16.57 Å³/atom
final energy = -21.56 eV per formula unit


Entry 7:
GdHf2S | PBE | optimized geometry

abc: 3.4598 3.4598 27.3864
angles: 90.00 90.00 120.00
Atoms (fractional coordinates):
1 Gd 0.0000 0.0000 0.0000
2 Gd 0.3333 0.6667 0.6667
3 Gd 0.6667 0.3333 0.3333
4 Hf 0.0000 0.0000 0.1119
5 Hf 0.0000 0.0000 0.8881
6 Hf 0.3333 0.6667 0.5547
7 Hf 0.3333 0.6667 0.7786
8 Hf 0.6667 0.3333 0.2214
9 Hf 0.6667 0.3333 0.4453
10 S 0.0000 0.0000 0.5000
11 S 0.3333 0.6667 0.1667
12 S 0.6667 0.3333 0.8333

Computed properties:
space-group type = R-3m
uncorrected formation energy = -0.313 eV/atom
D(E_F) = 0.678 states/eV/atom
volume = 23.66 Å³/atom
final energy = -39.37 eV per formula unit


Entry 8:
BiPAuO2 | PBE | optimized geometry

abc: 4.1657 4.1657 4.8442
angles: 90.00 90.00 90.00
Atoms (fractional coordinates):
1 Bi 0.0000 0.0000 0.0000
2 P 0.5000 0.5000 0.0000
3 Au 0.5000 0.5000 0.5000
4 O 0.0000 0.5000 0.5000
5 O 0.5000 0.0000 0.5000

Computed properties:
space-group type = P4/mmm
uncorrected formation energy = 0.278 eV/atom
D(E_F) = 0.494 states/eV/atom
volume = 16.81 Å³/atom
final energy = -21.10 eV per formula unit
excess energy over the best structure of this formula in the dataset = 92 meV/atom


Entry 9:
BaAgCl2 | PBE | optimized geometry

abc: 4.4459 4.4459 6.0723
angles: 90.00 90.00 90.00
Atoms (fractional coordinates):
1 Ba 0.0000 0.0000 0.0000
2 Ag 0.5000 0.5000 0.6233
3 Cl 0.0000 0.0000 0.5029
4 Cl 0.5000 0.5000 0.1496

Computed properties:
space-group type = P4mm
uncorrected formation energy = -1.239 eV/atom
D(E_F) = 0.543 states/eV/atom
volume = 30.01 Å³/atom
final energy = -13.42 eV per formula unit
excess energy over the best structure of this formula in the dataset = 79 meV/atom


Entry 10:
TbTh2Ge | PBE | optimized geometry

abc: 4.7230 4.7230 4.8695
angles: 90.00 90.00 90.00
Atoms (fractional coordinates):
1 Tb 0.0000 0.0000 0.0000
2 Th 0.0000 0.5000 0.5000
3 Th 0.5000 0.0000 0.5000
4 Ge 0.5000 0.5000 0.0000

Computed properties:
formation energy from the elements = -268 meV per atom
space-group type = P4/mmm
D(E_F) = 1.166 states/eV/atom
volume = 27.16 Å³/atom
final energy = -25.16 eV per formula unit
excess energy over the best structure of this formula in the dataset = 0 meV/atom


Entry 11:
Hf3HgW | PBE | optimized geometry

abc: 5.0754 5.0754 5.0754
angles: 90.00 90.00 90.00
Atoms (fractional coordinates):
1 Hf 0.0000 0.0000 0.5000
2 Hf 0.0000 0.5000 0.0000
3 Hf 0.5000 0.0000 0.0000
4 Hg 0.0000 0.0000 0.0000
5 W 0.5000 0.5000 0.5000

Computed properties:
formation energy from the elements = 1787 meV per atom
space-group type = Pm-3m
D(E_F) = 1.980 states/eV/atom
volume = 26.15 Å³/atom
final energy = -34.18 eV per formula unit
excess energy over the best structure of this formula in the dataset = 890 meV/atom


Entry 12:
Pa2HOs | PBE | optimized geometry

abc: 3.1656 3.1656 6.6763
angles: 90.00 90.00 90.00
Atoms (fractional coordinates):
1 Pa 0.0000 0.0000 0.2114
2 Pa 0.0000 0.0000 0.7886
3 H 0.5000 0.5000 0.0000
4 Os 0.5000 0.5000 0.5000

Computed properties:
space-group type = P4/mmm
D(E_F) = 1.168 states/eV/atom
volume = 16.73 Å³/atom
final energy = -34.01 eV per formula unit
excess energy over the best structure of this formula in the dataset = 0 meV/atom